# 1
A relaxed structure of NaV3Pt. Source: the Alexandria database, functional PBE.

Calculated values
ΔH_f (0 K)	1.9958	eV per atom
total energy	-4.947	eV/atom
ΔE to the lowest computed polymorph	1041	meV per atom

```
NaV3Pt
1.0
-0.769 -3.900 -1.780
3.744 0.270 -2.209
2.089 -1.921 3.304
Na Pt V
1 1 3
Direct
0.000 0.000 0.000
0.500 0.500 0.500
0.000 0.500 0.000
0.000 0.000 0.500
0.500 0.000 0.000
```



# 2
A relaxed structure of NaV3Pt. Source: the Alexandria database, functional PBE.

Calculated values
ΔH_f (0 K)	0.9546	eV per atom
total energy	-5.988	eV/atom
ΔE to the lowest computed polymorph	0	meV per atom

```
NaV3Pt
1.0
4.895 0.000 0.000
0.000 4.895 0.000
0.000 0.000 4.895
Na Pt V
1 1 3
Direct
0.500 0.500 0.500
0.000 0.000 0.000
0.000 0.500 0.000
0.000 0.000 0.500
0.500 0.000 0.000
```



# 3
A relaxed structure of NaPtW3. Source: the Alexandria database, functional PBE.

Calculated values
ΔH_f (0 K)	2.7892	eV per atom
total energy	-6.455	eV/atom
ΔE to the lowest computed polymorph	655	meV per atom

```
NaPtW3
1.0
4.439 0.000 0.000
0.000 4.439 0.000
0.000 0.000 4.439
Na W Pt
1 3 1
Direct
0.000 0.000 0.000
0.000 0.500 0.000
0.000 0.000 0.500
0.500 0.000 0.000
0.500 0.500 0.500
```



# 4
A relaxed structure of Na2Pt2W. Source: the Alexandria database, functional PBE.

Calculated values
ΔH_f (0 K)	0.2462	eV per atom
total energy	-5.288	eV/atom
ΔE to the lowest computed polymorph	0	meV per atom

```
Na2Pt2W
1.0
-5.742 0.938 -2.922
-2.921 -3.573 4.593
-0.716 4.080 2.718
Na W Pt
4 2 4
Direct
0.173 0.673 0.500
0.673 0.827 0.500
0.827 0.327 0.500
0.327 0.173 0.500
0.000 0.000 0.000
0.500 0.500 0.000
0.361 0.861 0.000
0.861 0.639 0.000
0.639 0.139 0.000
0.139 0.361 0.000
```



# 5
A relaxed structure of Na2PtW. Source: the Alexandria database, functional PBE.

Calculated values
ΔH_f (0 K)	1.2727	eV per atom
total energy	-4.135	eV/atom
ΔE to the lowest computed polymorph	173	meV per atom

```
Na2PtW
1.0
0.000 3.389 3.389
3.389 0.000 3.389
3.389 3.389 0.000
Na W Pt
2 1 1
Direct
0.250 0.250 0.250
0.750 0.750 0.750
0.000 0.000 0.000
0.500 0.500 0.500
```



# 6
A relaxed structure of Na2Pt2W. Source: the Alexandria database, functional PBE.

Calculated values
ΔH_f (0 K)	0.4436	eV per atom
total energy	-5.091	eV/atom
ΔE to the lowest computed polymorph	197	meV per atom

```
Na2Pt2W
1.0
-1.671 2.748 -1.254
-0.790 -1.781 -2.850
-7.481 -1.859 1.144
Na W Pt
2 1 2
Direct
0.750 0.250 0.500
0.250 0.750 0.500
0.000 0.000 0.000
0.410 0.410 0.181
0.590 0.590 0.819
```